Record 1
Material: NaAlCd2Te4
Method: DFT, GGA-PBE
State: relaxed

Cell: 9.641 9.650 12.244 Å, 90.00 90.00 90.00°
Space group Fmm2 (No. 42)
Unique sites:
Na1 0.000 0.000 0.000 (multiplicity 4)
Al1 0.000 0.000 0.501 (multiplicity 4)
Cd1 0.250 0.250 0.251 (multiplicity 8)
Te1 0.000 0.226 0.379 (multiplicity 8)
Te2 0.226 0.000 0.623 (multiplicity 8)

## Properties
formation energy from raw total energies: -558 meV per atom

---

Record 2
Material: TbHo3Sb2
Method: DFT, GGA-PBE
State: relaxed

Cell: 18.147 4.288 9.701 Å, 90.00 113.93 90.00°
Space group C2/m (No. 12)
Unique sites:
Tb1 0.110 0.000 0.116 (multiplicity 4)
Ho1 0.056 0.000 0.675 (multiplicity 4)
Ho2 0.144 0.500 0.477 (multiplicity 4)
Ho3 0.188 0.500 0.892 (multiplicity 4)
Sb1 0.009 0.500 0.846 (multiplicity 4)
Sb2 0.249 0.000 0.720 (multiplicity 4)

## Properties
formation energy from raw total energies: -675 meV per atom

---

Record 3
Material: Sc2CuNi2
Method: DFT, GGA-PBE
State: relaxed

Cell: 8.885 4.973 7.325 Å, 90.00 106.33 90.00°
Space group C2/c (No. 15)
Unique sites:
Sc1 0.150 0.145 0.149 (multiplicity 8)
Cu1 0.000 0.317 0.750 (multiplicity 4)
Ni1 0.133 0.364 0.500 (multiplicity 8)

## Properties
calculated formation energy: -423 meV per atom